# 1
A geometry-optimized La4Si2I5 structure. Source: Alexandria, functional PBE.

magnetic moment	0.000	μB per atom
formation energy without anion corrections	-1.16	eV/atom
symmetry	C2/m (12)
calculated volume	468	Å³/cell
Fermi-level density of states	0.254	states/eV/atom

a = 4.3826 Å, b = 8.9002 Å, c = 12.2077 Å
α = 92.59°, β = 100.34°, γ = 90.00°
Last column: nearest neighbours and their distance in Å.
Positions (direct):
1 Si 0.5470 0.4871 0.0940  1 Si 2.28
2 Si 0.4530 0.5129 0.9060  1 Si 2.28
3 La 0.0107 0.7100 0.0213  4 Si 3.09-3.11, 3 I 3.34-3.40
4 La 0.3391 0.4434 0.6783  1 Si 2.78
5 La 0.9893 0.2900 0.9787  4 Si 3.09-3.11, 3 I 3.34-3.40
6 La 0.6609 0.5566 0.3217  1 Si 2.78
7 I 0.5000 0.0000 0.0000  4 La 3.40
8 I 0.7963 0.6872 0.5927  3 La 3.28-3.40
9 I 0.2037 0.3128 0.4073  3 La 3.28-3.40
10 I 0.1454 0.8196 0.2909  3 La 3.24-3.34
11 I 0.8546 0.1804 0.7091  3 La 3.24-3.34



# 2
A geometry-optimized La5Si2I2 structure. Source: Alexandria, functional PBE.

magnetic moment	0.000	μB per atom
formation energy without anion corrections	-0.83	eV/atom
symmetry	Cmce (64)
calculated volume	563	Å³/cell
Fermi-level density of states	1.077	states/eV/atom

a = 8.2857 Å, b = 8.2706 Å, c = 9.2005 Å
α = 90.00°, β = 63.24°, γ = 90.00°
Last column: nearest neighbours and their distance in Å.
Positions (direct):
1 La 0.5000 0.5000 0.0000  4 Si 3.17, 2 I 3.33
2 La 0.0394 0.6582 0.2372  3 Si 3.01-3.19
3 La 0.9606 0.3418 0.7628  3 Si 3.01-3.19
4 La 0.7234 0.3418 0.2372  3 Si 3.01-3.19
5 La 0.4606 0.1582 0.7628  3 Si 3.01-3.19
6 La 0.5394 0.8418 0.2372  3 Si 3.01-3.19
7 La 0.0000 0.0000 0.0000  4 Si 3.17, 2 I 3.33
8 La 0.7766 0.8418 0.7628  3 Si 3.01-3.19
9 La 0.2766 0.6582 0.7628  3 Si 3.01-3.19
10 La 0.2234 0.1582 0.2372  3 Si 3.01-3.19
11 I 0.7972 0.0000 0.4056  7 La 3.33-3.47
12 I 0.2972 0.5000 0.4056  7 La 3.33-3.47
13 I 0.2028 0.0000 0.5944  7 La 3.33-3.47
14 I 0.7028 0.5000 0.5944  7 La 3.33-3.47
15 Si 0.3538 0.8542 0.0000  8 La 3.01-3.19
16 Si 0.1462 0.3542 0.0000  8 La 3.01-3.19
17 Si 0.6462 0.1458 0.0000  8 La 3.01-3.19
18 Si 0.8538 0.6458 0.0000  8 La 3.01-3.19



# 3
A geometry-optimized La4SiI4 structure. Source: Alexandria, functional PBE.

magnetic moment	0.000	μB per atom
formation energy without anion corrections	-1.21	eV/atom
symmetry	C2/m (12)
calculated volume	330	Å³/cell
Fermi-level density of states	0.416	states/eV/atom

a = 4.3951 Å, b = 7.9660 Å, c = 10.1795 Å
α = 77.53°, β = 77.53°, γ = 73.99°
Last column: nearest neighbours and their distance in Å.
Positions (direct):
1 I 0.6832 0.4176 0.2160  5 La 3.30-3.45
2 I 0.3168 0.5824 0.7840  5 La 3.30-3.45
3 I 0.0999 0.2058 0.5945  4 La 3.29-3.49
4 I 0.9001 0.7942 0.4055  4 La 3.29-3.49
5 La 0.0880 0.7465 0.0776  2 Si 2.95
6 La 0.3197 0.0921 0.2684  1 Si 2.87
7 La 0.6803 0.9079 0.7316  1 Si 2.87
8 La 0.9120 0.2535 0.9224  2 Si 2.95
9 Si 0.5000 0.0000 0.0000  6 La 2.87-2.95



# 4
A geometry-optimized La2SiI structure. Source: Alexandria, functional PBE.

magnetic moment	0.000	μB per atom
formation energy without anion corrections	-0.99	eV/atom
symmetry	R3m (160)
relative energy among the computed polymorphs	22	meV per atom
calculated volume	133	Å³/cell
Fermi-level density of states	0.684	states/eV/atom

a = 4.3695 Å, b = 4.3695 Å, c = 8.4582 Å
α = 75.03°, β = 75.03°, γ = 60.00°
Last column: nearest neighbours and their distance in Å.
Positions (direct):
1 La 0.0664 0.0664 0.8007  3 Si 2.98
2 La 0.2674 0.2674 0.1977  3 Si 3.00
3 Si 0.6676 0.6676 0.9972  6 La 2.98-3.00
4 I 0.4985 0.4985 0.5044  6 La 3.48-3.53



> Look up the Fermi-level density of states of the third one.

0.416 states/eV/atom



> The lowest calculated volume belongs to which entry?

La2SiI



> What is the formation energy without anion corrections in the third record?

-1.21 eV/atom



> calculated volume of number 1 (La4Si2I5)?

468 Å³/cell